Material: Ba2SmPuS6
Method: DFT, GGA-PBE
State: optimized geometry

Energy relative to the elements, uncorrected, eV/atom: -1.7640
D(E_F), states/eV/cell: 19.3
Final energy, eV/atom: -6.530

Unit cell a=7.238 b=7.530 c=10.401 alpha=90.00 beta=90.12 gamma=90.00
Each line ends with the local moment (μB).
Positions (direct):
1 S 0.210 0.197 0.455  -0.11
2 S 0.290 0.697 0.045  -0.11
3 S 0.913 0.522 0.242  -0.11
4 S 0.790 0.803 0.545  -0.11
5 S 0.587 0.022 0.258  -0.11
6 S 0.413 0.978 0.742  -0.11
7 S 0.806 0.789 0.953  -0.11
8 S 0.694 0.289 0.547  -0.11
9 S 0.087 0.478 0.758  -0.11
10 S 0.306 0.711 0.453  -0.11
11 S 0.710 0.303 0.955  -0.11
12 S 0.194 0.211 0.047  -0.11
13 Pu 0.500 0.000 0.500  3.97
14 Pu 0.000 0.500 0.000  3.97
15 Ba 0.517 0.562 0.750  0.00
16 Ba 0.017 0.938 0.250  0.00
17 Ba 0.983 0.062 0.750  0.00
18 Ba 0.483 0.438 0.250  0.00
19 Sm 0.500 0.000 0.000  -0.02
20 Sm 0.000 0.500 0.500  -0.02